# HfVO4F

A relaxed HfVO4F crystal (PBE+U, the Alexandria database).

The structure in POSCAR format:
```
HfVO4F
1.0
4.532 -3.403 0.000
4.532 3.403 0.000
-2.123 0.000 6.221
Hf V O F
2 2 8 2
direct
0.215 0.215 0.104
0.785 0.785 0.896
0.347 0.347 0.709
0.653 0.653 0.291
0.099 0.485 0.849
0.251 0.251 0.440
0.455 0.455 0.231
0.485 0.099 0.849
0.515 0.901 0.151
0.545 0.545 0.769
0.749 0.749 0.560
0.901 0.515 0.151
0.017 0.017 0.832
0.983 0.983 0.168
```

**Electronic total energy**: -116.451 eV per cell